Entry from Alexandria: Mn2SbCl after structural relaxation (GGA-PBEsol).

Cell and atoms, written as extended XYZ:
```
4
Lattice="3.023 0.000 0.000 0.000 3.023 0.000 0.000 0.000 8.250" Properties=species:S:1:pos:R:3 pbc="T T T"
Mn 0.000 0.000 0.000
Mn 1.511 1.511 1.503
Sb 0.000 0.000 3.421
Cl 1.511 1.511 6.803
```

Properties
size of the total moment	0.6	Bohr magnetons per cell
Fermi-level density of states	3.3	states/eV/cell
DFT total energy	-6.4811	eV per atom



Entry from Alexandria: MnSbCl2 after structural relaxation (GGA-PBEsol).

Cell and atoms, written as extended XYZ:
```
12
Lattice="3.506 0.000 0.000 -1.753 3.036 0.000 0.000 0.000 24.669" Properties=species:S:1:pos:R:3 pbc="T T T"
Mn 0.000 0.000 0.000
Mn 0.000 2.024 16.446
Mn 1.753 1.012 8.223
Sb 0.000 0.000 6.407
Sb 0.000 2.024 22.853
Sb 1.753 1.012 14.630
Cl 0.000 0.000 12.609
Cl 0.000 0.000 17.764
Cl 0.000 2.024 4.386
Cl 0.000 2.024 9.541
Cl 1.753 1.012 1.318
Cl 1.753 1.012 20.832
```

Properties
size of the total moment	10.6	Bohr magnetons per cell
Fermi-level density of states	8.9	states/eV/cell
DFT total energy	-4.9277	eV per atom



Entry from Alexandria: Mn3SbCl after structural relaxation (GGA-PBEsol).

Cell and atoms, written as extended XYZ:
```
5
Lattice="4.234 0.000 0.000 0.000 4.234 0.000 0.000 0.000 4.234" Properties=species:S:1:pos:R:3 pbc="T T T"
Mn 0.000 0.000 2.117
Mn 0.000 2.117 0.000
Mn 2.117 0.000 0.000
Sb 2.117 2.117 2.117
Cl 0.000 0.000 0.000
```

Properties
size of the total moment	7.2	Bohr magnetons per cell
Fermi-level density of states	5.4	states/eV/cell
DFT total energy	-6.5324	eV per atom



Entry from Alexandria: MnSbCl2 after structural relaxation (GGA-PBEsol).

Cell and atoms, written as extended XYZ:
```
12
Lattice="3.375 0.000 0.000 -1.687 2.923 0.000 0.000 0.000 31.845" Properties=species:S:1:pos:R:3 pbc="T T T"
Mn 0.000 0.000 0.000
Mn 0.000 1.948 21.230
Mn 1.687 0.974 10.615
Sb 0.000 0.000 15.923
Sb 0.000 1.948 5.308
Sb 1.687 0.974 26.538
Cl 0.000 0.000 9.110
Cl 0.000 0.000 22.735
Cl 0.000 1.948 12.120
Cl 0.000 1.948 30.341
Cl 1.687 0.974 1.505
Cl 1.687 0.974 19.726
```

Properties
size of the total moment	14.8	Bohr magnetons per cell
Fermi-level density of states	4.1	states/eV/cell
DFT total energy	-5.0224	eV per atom



Entry from Alexandria: Mn2SbCl after structural relaxation (GGA-PBEsol).

Cell and atoms, written as extended XYZ:
```
4
Lattice="3.672 0.000 0.000 0.000 5.329 0.000 0.000 0.000 4.189" Properties=species:S:1:pos:R:3 pbc="T T T"
Mn 0.000 0.000 0.000
Mn 1.836 2.664 1.444
Sb 1.836 0.000 2.077
Cl 0.000 2.664 3.967
```

Properties
size of the total moment	8.9	Bohr magnetons per cell
Fermi-level density of states	2.2	states/eV/cell
DFT total energy	-6.3660	eV per atom



Entry from Alexandria: MnSeCl2 after structural relaxation (GGA-PBEsol).

Cell and atoms, written as extended XYZ:
```
4
Lattice="3.605 0.000 0.000 0.000 3.605 0.000 0.000 0.000 7.643" Properties=species:S:1:pos:R:3 pbc="T T T"
Mn 0.000 0.000 0.000
Se 1.802 1.802 6.980
Cl 0.000 0.000 2.150
Cl 1.802 1.802 4.763
```

Properties
size of the total moment	4.7	Bohr magnetons per cell
Fermi-level density of states	1.3	states/eV/cell
DFT total energy	-4.6817	eV per atom



Entry from Alexandria: MnSnSe2Cl after structural relaxation (GGA-PBEsol).

Cell and atoms, written as extended XYZ:
```
5
Lattice="4.966 0.000 0.000 0.000 4.966 0.000 0.000 0.000 5.142" Properties=species:S:1:pos:R:3 pbc="T T T"
Mn 0.000 0.000 0.000
Sn 2.483 2.483 0.000
Se 0.000 2.483 2.571
Se 2.483 0.000 2.571
Cl 2.483 2.483 2.571
```

Properties
size of the total moment	4.3	Bohr magnetons per cell
Fermi-level density of states	5.1	states/eV/cell
DFT total energy	-3.8657	eV per atom



Entry from Alexandria: MnSiCl2 after structural relaxation (GGA-PBEsol).

Cell and atoms, written as extended XYZ:
```
4
Lattice="3.068 0.000 0.000 0.000 4.208 0.000 0.000 0.000 5.490" Properties=species:S:1:pos:R:3 pbc="T T T"
Mn 0.000 0.000 0.000
Si 1.534 0.000 2.745
Cl 0.000 2.104 2.745
Cl 1.534 2.104 0.000
```

Properties
size of the total moment	4.2	Bohr magnetons per cell
Fermi-level density of states	1.7	states/eV/cell
DFT total energy	-4.7840	eV per atom



Entry from Alexandria: MnSiCl2 after structural relaxation (GGA-PBEsol).

Cell and atoms, written as extended XYZ:
```
16
Lattice="6.479 0.000 0.000 0.000 6.479 0.000 0.000 0.000 6.479" Properties=species:S:1:pos:R:3 pbc="T T T"
Mn 0.000 0.000 0.000
Mn 0.000 3.239 3.239
Mn 3.239 0.000 3.239
Mn 3.239 3.239 0.000
Si 1.620 1.620 4.859
Si 1.620 4.859 1.620
Si 4.859 1.620 1.620
Si 4.859 4.859 4.859
Cl 0.000 0.000 3.239
Cl 0.000 3.239 0.000
Cl 1.620 1.620 1.620
Cl 1.620 4.859 4.859
Cl 3.239 0.000 0.000
Cl 3.239 3.239 3.239
Cl 4.859 1.620 4.859
Cl 4.859 4.859 1.620
```

Properties
size of the total moment	12.0	Bohr magnetons per cell
Fermi-level density of states	12.0	states/eV/cell
DFT total energy	-4.4187	eV per atom



Entry from Alexandria: MnSiCl2 after structural relaxation (GGA-PBEsol).

Cell and atoms, written as extended XYZ:
```
12
Lattice="3.152 0.000 0.000 -1.576 2.730 0.000 0.000 0.000 26.250" Properties=species:S:1:pos:R:3 pbc="T T T"
Mn 0.000 0.000 0.000
Mn 0.000 1.820 17.500
Mn 1.576 0.910 8.750
Si 0.000 0.000 13.125
Si 0.000 1.820 4.375
Si 1.576 0.910 21.875
Cl 0.000 0.000 2.197
Cl 0.000 0.000 24.054
Cl 0.000 1.820 15.304
Cl 0.000 1.820 19.697
Cl 1.576 0.910 6.553
Cl 1.576 0.910 10.947
```

Properties
size of the total moment	11.8	Bohr magnetons per cell
Fermi-level density of states	5.0	states/eV/cell
DFT total energy	-4.7578	eV per atom



Entry from Alexandria: ZrMnSiCl2 after structural relaxation (GGA-PBEsol).

Cell and atoms, written as extended XYZ:
```
5
Lattice="4.793 0.000 0.000 0.000 4.793 0.000 0.000 0.000 5.449" Properties=species:S:1:pos:R:3 pbc="T T T"
Zr 0.000 0.000 0.000
Mn 2.397 2.397 2.724
Si 0.000 0.000 2.724
Cl 0.000 2.397 0.000
Cl 2.397 0.000 0.000
```

Properties
size of the total moment	4.9	Bohr magnetons per cell
Fermi-level density of states	2.6	states/eV/cell
DFT total energy	-5.6942	eV per atom



Entry from Alexandria: MnSn3Cl after structural relaxation (GGA-PBEsol).

Cell and atoms, written as extended XYZ:
```
5
Lattice="4.883 0.000 0.000 0.000 4.883 0.000 0.000 0.000 4.883" Properties=species:S:1:pos:R:3 pbc="T T T"
Mn 0.000 0.000 0.000
Sn 0.000 0.000 2.441
Sn 0.000 2.441 0.000
Sn 2.441 0.000 0.000
Cl 2.441 2.441 2.441
```

Properties
size of the total moment	0.0	Bohr magnetons per cell
DFT total energy	-5.1686	eV per atom